Record 1
## Nd3Sm2Cd4 (PBE)

Data for Nd3Sm2Cd4 after structural relaxation.

Values from the calculation:
DOS(E_F)   1.16 states/eV/atom
Symmetry   Cmce, No. 64
Calculated volume   30.40 Å³/atom
Crystal system   orthorhombic
Total magnetic moment   0.00 μB per formula unit
ΔE_f   -0.14 eV/atom

a b c (Å): 6.8092 8.2706 10.2957
angles (deg): 90.00 109.31 90.00
With the nearest neighbours (Å) after each atom.
Positions (direct):
Nd  0.0000  0.0000  0.0000  6 Cd 3.07-3.08
Nd  0.5000  0.5000  0.0000  6 Cd 3.07-3.08
Nd  0.5031  0.7500  0.5062  5 Cd 3.18-3.28, 2 Nd 3.40
Nd  0.9969  0.2500  0.4938  5 Cd 3.18-3.28, 2 Nd 3.40
Nd  0.4969  0.2500  0.4938  5 Cd 3.18-3.28, 2 Nd 3.40
Nd  0.0031  0.7500  0.5062  5 Cd 3.18-3.28, 2 Nd 3.40
Sm  0.0900  0.5988  0.1800  5 Cd 3.36-3.71, 1 Nd 3.75
Sm  0.9100  0.4012  0.8200  5 Cd 3.36-3.71, 1 Nd 3.75
Sm  0.4100  0.0988  0.8200  5 Cd 3.36-3.71, 1 Nd 3.75
Sm  0.5900  0.9012  0.1800  5 Cd 3.36-3.71, 1 Nd 3.75
Cd  0.6718  0.7500  0.8437  3 Nd 3.08-3.28, 4 Cd 3.18-3.40, 2 Sm 3.36
Cd  0.8282  0.2500  0.1563  3 Nd 3.08-3.28, 4 Cd 3.18-3.40, 2 Sm 3.36
Cd  0.3282  0.2500  0.1563  3 Nd 3.08-3.28, 4 Cd 3.18-3.40, 2 Sm 3.36
Cd  0.1718  0.7500  0.8437  3 Nd 3.08-3.28, 4 Cd 3.18-3.40, 2 Sm 3.36
Cd  0.1576  0.9840  0.3152  5 Nd 3.07-3.28, 2 Cd 3.18
Cd  0.8424  0.0160  0.6848  5 Nd 3.07-3.28, 2 Cd 3.18
Cd  0.3424  0.4840  0.6848  5 Nd 3.07-3.28, 2 Cd 3.18
Cd  0.6576  0.5160  0.3152  5 Nd 3.07-3.28, 2 Cd 3.18



Record 2
## Zn2IrCl (PBE)

Data for Zn2IrCl after structural relaxation.

Values from the calculation:
DOS(E_F)   0.39 states/eV/atom
Energy above the lowest structure with this stoichiometry   0.611 eV/atom
Symmetry   I-4m2, No. 119
Calculated volume   16.07 Å³/atom
Crystal system   tetragonal
Total magnetic moment   0.00 μB per formula unit
Raw formation energy   133 kJ/mol of formula units

a b c (Å): 5.2805 5.2805 5.2805
angles (deg): 138.37 138.37 60.34
With the nearest neighbours (Å) after each atom.
Positions (direct):
Cl  0.5000  0.5000  0.0000  8 Zn 2.65-2.95, 4 Ir 2.95
Ir  0.7500  0.2500  0.5000  8 Zn 2.65-2.95, 4 Cl 2.95
Zn  0.0000  0.0000  0.0000  4 Cl 2.65, 4 Zn 2.95, 4 Ir 2.95
Zn  0.2500  0.7500  0.5000  4 Ir 2.65, 4 Zn 2.95, 4 Cl 2.95



Record 3
## CdPbN2 (PBE)

Data for CdPbN2 after structural relaxation.

Values from the calculation:
DOS(E_F)   0.60 states/eV/atom
Energy above the lowest structure with this stoichiometry   1.101 eV/atom
Symmetry   R-3m, No. 166
Calculated volume   18.65 Å³/atom
Crystal system   trigonal
Total magnetic moment   0.00 μB per formula unit
Raw formation energy   480 kJ/mol of formula units

a b c (Å): 6.5754 6.5754 6.5754
angles (deg): 32.90 32.90 32.90
With the nearest neighbours (Å) after each atom.
Positions (direct):
Pb  0.0000  0.0000  0.0000  2 N 2.04
N  0.8905  0.8905  0.8905  1 Pb 2.04
N  0.1095  0.1095  0.1095  1 Pb 2.04
Cd  0.5000  0.5000  0.5000  6 N 2.40



Record 4
## DyEr2Rh (PBE)

Data for DyEr2Rh after structural relaxation.

Values from the calculation:
DOS(E_F)   1.14 states/eV/atom
Energy above the lowest structure with this stoichiometry   0.000 eV/atom
Symmetry   Pnma, No. 62
Calculated volume   26.20 Å³/atom
Crystal system   orthorhombic
Total magnetic moment   0.00 μB per formula unit
ΔE_f   -0.55 eV/atom

a b c (Å): 6.2869 7.1324 9.3489
angles (deg): 90.00 90.00 90.00
With the nearest neighbours (Å) after each atom.
Positions (direct):
Dy  0.6352  0.5343  0.2500  2 Rh 2.76-2.86
Dy  0.8648  0.0343  0.2500  2 Rh 2.76-2.86
Dy  0.3648  0.4657  0.7500  2 Rh 2.76-2.86
Dy  0.1352  0.9657  0.7500  2 Rh 2.76-2.86
Er  0.1717  0.6774  0.0633  2 Rh 2.82-2.85
Er  0.3283  0.1774  0.4367  2 Rh 2.82-2.85
Er  0.8283  0.3226  0.5633  2 Rh 2.82-2.85
Er  0.6717  0.8226  0.9367  2 Rh 2.82-2.85
Er  0.8283  0.3226  0.9367  2 Rh 2.82-2.85
Er  0.6717  0.8226  0.5633  2 Rh 2.82-2.85
Er  0.1717  0.6774  0.4367  2 Rh 2.82-2.85
Er  0.3283  0.1774  0.0633  2 Rh 2.82-2.85
Rh  0.0558  0.3833  0.2500  2 Dy 2.76-2.86, 4 Er 2.82-2.85
Rh  0.4442  0.8833  0.2500  2 Dy 2.76-2.86, 4 Er 2.82-2.85
Rh  0.9442  0.6167  0.7500  2 Dy 2.76-2.86, 4 Er 2.82-2.85
Rh  0.5558  0.1167  0.7500  2 Dy 2.76-2.86, 4 Er 2.82-2.85